No. 1
# Mg3HS (PBEsol, relaxed)
data_Mg3HS
_cell_length_a 4.367
_cell_length_b 4.367
_cell_length_c 4.367
_cell_angle_alpha 90.00
_cell_angle_beta 90.00
_cell_angle_gamma 90.00
_symmetry_space_group_name_H-M 'P m -3 m'
_symmetry_Int_Tables_number 221
_symmetry_space_group_name_Hall '-P 4 2 3'
loop_
_atom_site_label
_atom_site_fract_x
_atom_site_fract_y
_atom_site_fract_z
Mg1 0.000 0.000 0.500
H1 0.000 0.000 0.000
S1 0.500 0.500 0.500
# * Fermi-level density of states: 0.2879 states/eV per atom

No. 2
# MgSbH2 (PBEsol, relaxed)
data_MgSbH2
_cell_length_a 5.911
_cell_length_b 5.911
_cell_length_c 5.911
_cell_angle_alpha 90.00
_cell_angle_beta 90.00
_cell_angle_gamma 90.00
_symmetry_space_group_name_H-M 'F m -3 m'
_symmetry_Int_Tables_number 225
_symmetry_space_group_name_Hall '-F 4 2 3'
loop_
_atom_site_label
_atom_site_fract_x
_atom_site_fract_y
_atom_site_fract_z
Mg1 0.000 0.000 0.000
Sb1 0.000 0.000 0.500
H1 0.250 0.250 0.250
# * Fermi-level density of states: 0.4603 states/eV per atom

No. 3
# Mg2SbH2 (PBEsol, relaxed)
data_Mg2SbH2
_cell_length_a 7.203
_cell_length_b 7.203
_cell_length_c 2.930
_cell_angle_alpha 90.00
_cell_angle_beta 90.00
_cell_angle_gamma 90.00
_symmetry_space_group_name_H-M 'P 4/m b m'
_symmetry_Int_Tables_number 127
_symmetry_space_group_name_Hall '-P 4 2ab'
loop_
_atom_site_label
_atom_site_fract_x
_atom_site_fract_y
_atom_site_fract_z
Mg1 0.138 0.362 0.000
Sb1 0.000 0.000 0.500
H1 0.101 0.601 0.500
# * Fermi-level density of states: 0.4273 states/eV per atom

| no. | volume (Å³/atom) | total magnetic moment (μB per formula unit) | E (eV/atom) |
| --- | --- | --- | --- |
| 1 | 16.65 | 0.0 | -2.6368 |
| 2 | 12.91 | 0.0 | -2.7624 |
| 3 | 15.20 | 0.0 | -2.6872 |